Here is Pu2NpGaRu2 after structural relaxation from Alexandria via LeMat-Bulk. Energies are from GGA-PBE.

Unit cell a=6.1358 b=13.0556 c=6.2557 alpha=90.00 beta=90.00 gamma=90.00
Closest atoms and distances in Å follow each position.
Space group Ibam (No. 72)
Inequivalent atoms, fractional coordinates:
Pu: 0.2444 0.1760 0.0000  1 Ru 2.66
Np: 0.0000 0.5000 0.2500  4 Ru 2.72
Ga: 0.0000 0.0000 0.2500  4 Ru 2.68
Ru: 0.2444 0.1204 0.5000  1 Pu 2.66, 2 Ga 2.68, 2 Np 2.72

Uncorrected energy   -0.781 Ry/atom
Formation energy from the elements   -0.58 eV per formula unit
Total moment   13.880 μB/f.u.